No. 1
## TlMo2Os (PBE)

Data for a geometry-optimized TlMo2Os structure.

Lattice parameters (Å, degrees): 5.014 5.014 5.014 132.58 132.58 69.31
Atoms (fractional coordinates):
Tl (0.000, 0.000, 0.000)
Mo (0.250, 0.750, 0.500)
Mo (0.500, 0.500, 0.000)
Os (0.750, 0.250, 0.500)

Calculated density, g/cm3: 14.522
Energy, Ry per atom: -0.5994
ΔH_f (0 K), meV/atom: 659
Size of the total moment, μB/cell: 0.0
N(E_F), states/eV/f.u.: 2.87
Symmetry: No. 119
Calculated volume, Å³/atom: 16.8
Crystal system: tetragonal
Relative energy among the computed polymorphs, kJ per mole of atoms: 26.9

No. 2
## Pm3Nd7Sm2 (PBE)

Data for a geometry-optimized Pm3Nd7Sm2 structure.

Lattice parameters (Å, degrees): 6.534 3.605 17.932 90.00 96.06 90.00
Atoms (fractional coordinates):
Pm (0.000, 0.000, 0.000)
Pm (0.048, 0.500, 0.661)
Pm (0.952, 0.500, 0.339)
Nd (0.226, 0.500, 0.167)
Nd (0.244, 0.000, 0.503)
Nd (0.276, 0.000, 0.831)
Nd (0.500, 0.500, 0.000)
Nd (0.724, 0.000, 0.169)
Nd (0.756, 0.000, 0.497)
Nd (0.774, 0.500, 0.833)
Sm (0.443, 0.000, 0.330)
Sm (0.557, 0.000, 0.670)

Calculated density, g/cm3: 6.900
Energy, Ry per atom: -0.3444
ΔH_f (0 K), meV/atom: 69
Size of the total moment, μB/cell: 0.0
N(E_F), states/eV/f.u.: 18.47
Symmetry: No. 10
Calculated volume, Å³/atom: 35.0
Crystal system: monoclinic
Relative energy among the computed polymorphs, kJ per mole of atoms: 0.0

No. 3
## BaTl2Rh (PBE)

Data for a geometry-optimized BaTl2Rh structure.

Lattice parameters (Å, degrees): 5.333 5.333 5.333 60.00 60.00 60.00
Atoms (fractional coordinates):
Ba (0.000, 0.000, 0.000)
Tl (0.250, 0.250, 0.250)
Tl (0.750, 0.750, 0.750)
Rh (0.500, 0.500, 0.500)

Calculated density, g/cm3: 10.049
Energy, Ry per atom: -0.2552
ΔH_f (0 K), meV/atom: 29
Size of the total moment, μB/cell: 0.0
N(E_F), states/eV/f.u.: 3.34
Symmetry: No. 225
Calculated volume, Å³/atom: 26.8
Crystal system: cubic

No. 4
## LaYSi2 (PBE)

Data for a geometry-optimized LaYSi2 structure.

Lattice parameters (Å, degrees): 6.306 6.306 6.306 144.96 138.15 55.69
Atoms (fractional coordinates):
La (0.000, 0.000, 0.000)
Y (0.262, 0.762, 0.500)
Si (0.580, 0.580, 0.000)
Si (0.727, 0.227, 0.500)

Calculated density, g/cm3: 4.946
Energy, Ry per atom: -0.4507
Size of the total moment, μB/cell: 0.0
N(E_F), states/eV/f.u.: 2.39
Formation energy from raw total energies, eV/atom: -0.57
Symmetry: No. 44
Calculated volume, Å³/atom: 23.8
Crystal system: orthorhombic
Relative energy among the computed polymorphs, kJ per mole of atoms: 18.8

No. 5
## SrCrI3 (PBE)

Data for a geometry-optimized SrCrI3 structure.

Lattice parameters (Å, degrees): 6.360 6.360 6.360 90.00 90.00 90.00
Atoms (fractional coordinates):
Sr (0.000, 0.000, 0.000)
Cr (0.500, 0.500, 0.500)
I (0.000, 0.000, 0.500)
I (0.000, 0.500, 0.000)
I (0.500, 0.000, 0.000)

Calculated density, g/cm3: 3.358
Energy, Ry per atom: -0.2623
Size of the total moment, μB/cell: 5.0
N(E_F), states/eV/f.u.: 23.67
Formation energy from raw total energies, eV/atom: -0.38
Symmetry: No. 221
Calculated volume, Å³/atom: 51.5
Crystal system: cubic
Relative energy among the computed polymorphs, kJ per mole of atoms: 25.2

No. 6
## CaPmSm4 (PBE)

Data for a geometry-optimized CaPmSm4 structure.

Lattice parameters (Å, degrees): 9.135 9.135 6.398 96.62 96.62 23.26
Atoms (fractional coordinates):
Ca (0.000, 0.000, 0.000)
Pm (0.500, 0.500, 0.500)
Sm (0.167, 0.167, 0.394)
Sm (0.329, 0.329, 0.114)
Sm (0.671, 0.671, 0.886)
Sm (0.833, 0.833, 0.606)

Calculated density, g/cm3: 6.238
Energy, Ry per atom: -0.3105
ΔH_f (0 K), meV/atom: 47
Size of the total moment, μB/cell: 0.0
N(E_F), states/eV/f.u.: 8.74
Symmetry: No. 12
Calculated volume, Å³/atom: 34.9
Crystal system: monoclinic
Relative energy among the computed polymorphs, kJ per mole of atoms: 0.0

No. 7
## PrLuIr (PBE)

Data for a geometry-optimized PrLuIr structure.

Lattice parameters (Å, degrees): 4.864 4.864 4.864 60.00 60.00 60.00
Atoms (fractional coordinates):
Pr (0.000, 0.000, 0.000)
Lu (0.500, 0.500, 0.500)
Ir (0.250, 0.250, 0.250)

Calculated density, g/cm3: 10.370
Energy, Ry per atom: -0.4889
ΔH_f (0 K), meV/atom: -598
Size of the total moment, μB/cell: 0.0
N(E_F), states/eV/f.u.: 3.44
Symmetry: No. 216
Calculated volume, Å³/atom: 27.1
Crystal system: cubic
Relative energy among the computed polymorphs, kJ per mole of atoms: 0.0

No. 8
## CsAlP2O (PBE)

Data for a geometry-optimized CsAlP2O structure.

Lattice parameters (Å, degrees): 5.514 5.514 4.290 90.00 90.00 90.00
Atoms (fractional coordinates):
Cs (0.000, 0.000, 0.000)
Al (0.500, 0.500, 0.500)
P (0.000, 0.500, 0.000)
P (0.500, 0.000, 0.000)
O (0.000, 0.000, 0.500)

Calculated density, g/cm3: 3.028
Energy, Ry per atom: -0.1877
Size of the total moment, μB/cell: 0.8
N(E_F), states/eV/f.u.: 4.31
Formation energy from raw total energies, eV/atom: 1.52
Symmetry: No. 123
Calculated volume, Å³/atom: 26.1
Crystal system: tetragonal

No. 9
## AlPbS2 (PBE)

Data for a geometry-optimized AlPbS2 structure.

Lattice parameters (Å, degrees): 3.527 3.528 8.293 90.52 101.85 119.53
Atoms (fractional coordinates):
Al (0.000, 0.000, 0.000)
Pb (0.723, 0.218, 0.500)
S (0.220, 0.609, 0.837)
S (0.770, 0.382, 0.163)

Calculated density, g/cm3: 5.686
Energy, Ry per atom: -0.3441
Size of the total moment, μB/cell: 0.0
N(E_F), states/eV/f.u.: 0.56
Formation energy from raw total energies, eV/atom: -0.76
Symmetry: No. 1
Calculated volume, Å³/atom: 21.8
Crystal system: triclinic

No. 10
## NdSmHo2N4 (PBE)

Data for a geometry-optimized NdSmHo2N4 structure.

Lattice parameters (Å, degrees): 6.121 3.536 6.128 90.00 109.41 90.00
Atoms (fractional coordinates):
Nd (0.000, 0.000, 0.000)
Sm (0.500, 0.500, 0.000)
Ho (0.000, 0.500, 0.500)
Ho (0.500, 0.000, 0.500)
N (0.249, 0.000, 0.740)
N (0.255, 0.500, 0.261)
N (0.745, 0.500, 0.739)
N (0.751, 0.000, 0.260)

Calculated density, g/cm3: 9.034
Energy, Ry per atom: -0.5920
Size of the total moment, μB/cell: 0.0
N(E_F), states/eV/f.u.: 0.26
Formation energy from raw total energies, eV/atom: -1.56
Symmetry: No. 10
Calculated volume, Å³/atom: 15.6
Crystal system: monoclinic

No. 11
## LiBr3 (PBE)

Data for a geometry-optimized LiBr3 structure.

Lattice parameters (Å, degrees): 5.102 5.671 5.783 90.00 90.00 90.00
Atoms (fractional coordinates):
Li (0.000, 0.000, 0.000)
Br (0.250, 0.500, 0.500)
Br (0.500, 0.000, 0.000)
Br (0.750, 0.500, 0.500)

Calculated density, g/cm3: 2.448
Energy, Ry per atom: -0.1631
Size of the total moment, μB/cell: 0.7
N(E_F), states/eV/f.u.: 7.90
Formation energy from raw total energies, eV/atom: -0.49
Symmetry: No. 47
Calculated volume, Å³/atom: 41.8
Crystal system: orthorhombic
Relative energy among the computed polymorphs, kJ per mole of atoms: 23.5

No. 12
## Ce2ZnSi2Ru5 (PBE)

Data for a geometry-optimized Ce2ZnSi2Ru5 structure.

Lattice parameters (Å, degrees): 9.938 9.938 3.337 90.00 90.00 90.00
Atoms (fractional coordinates):
Ce (0.174, 0.326, 0.000)
Ce (0.326, 0.826, 0.000)
Ce (0.674, 0.174, 0.000)
Ce (0.826, 0.674, 0.000)
Zn (0.000, 0.000, 0.000)
Zn (0.500, 0.500, 0.000)
Si (0.126, 0.626, 0.000)
Si (0.374, 0.126, 0.000)
Si (0.626, 0.874, 0.000)
Si (0.874, 0.374, 0.000)
Ru (0.000, 0.500, 0.500)
Ru (0.069, 0.790, 0.500)
Ru (0.210, 0.069, 0.500)
Ru (0.290, 0.569, 0.500)
Ru (0.431, 0.290, 0.500)
Ru (0.500, 0.000, 0.500)
Ru (0.569, 0.710, 0.500)
Ru (0.710, 0.431, 0.500)
Ru (0.790, 0.931, 0.500)
Ru (0.931, 0.210, 0.500)

Calculated density, g/cm3: 9.141
Energy, Ry per atom: -0.5554
Size of the total moment, μB/cell: 0.0
N(E_F), states/eV/f.u.: 6.29
Formation energy from raw total energies, eV/atom: -0.52
Symmetry: No. 127
Calculated volume, Å³/atom: 16.5
Crystal system: tetragonal

Number 4 is which compound? LaYSi2